(1)
DFT (PBE-GGA) results for a relaxed KPuCl6 crystal.

Cell lengths 8.0877, 8.0877, 8.0877 Å; angles 60.00, 60.00, 60.00 degrees
With the nearest neighbours (Å) after each atom.
Fractional positions:
K  0.5000  0.5000  0.5000  6 Cl 3.20
Cl  0.7795  0.2205  0.7795  1 Pu 2.52
Cl  0.7795  0.7795  0.2205  1 Pu 2.52
Cl  0.7795  0.2205  0.2205  1 Pu 2.52
Cl  0.2205  0.2205  0.7795  1 Pu 2.52
Cl  0.2205  0.7795  0.2205  1 Pu 2.52
Cl  0.2205  0.7795  0.7795  1 Pu 2.52
Pu  0.0000  0.0000  0.0000  6 Cl 2.52

Properties
energy above the most stable polymorph in this dataset	0.0157	eV per atom
crystal system	cubic
V	374.1	Å³ per cell



(2)
DFT (PBE-GGA) results for a relaxed CoPBr2 crystal.

Cell lengths 3.4894, 3.4894, 8.5855 Å; angles 88.35, 88.35, 60.00 degrees
With the nearest neighbours (Å) after each atom.
Fractional positions:
Co  0.4547  0.4547  0.4507  3 P 2.23
P  0.1267  0.1267  0.3384  1 Br 2.21, 3 Co 2.23
Br  0.7796  0.7796  0.6298  3 Co 2.53
Br  0.1391  0.1391  0.0811  1 P 2.21

Properties
energy above the most stable polymorph in this dataset	0.0000	eV per atom
crystal system	monoclinic
V	90.5	Å³ per cell



(3)
DFT (PBE-GGA) results for a relaxed KLiPrCl5 crystal.

Cell lengths 7.5836, 7.5836, 10.2813 Å; angles 103.66, 103.66, 107.47 degrees
With the nearest neighbours (Å) after each atom.
Fractional positions:
Cl  0.9095  0.0905  0.7500  2 Pr 2.80
Cl  0.9186  0.3178  0.1238  1 Li 2.40
Cl  0.7461  0.6163  0.4242  1 Li 2.42
Cl  0.0905  0.9095  0.2500  2 Pr 2.80
Cl  0.3837  0.2539  0.0758  1 Li 2.42
Cl  0.6163  0.7461  0.9242  1 Li 2.42
Cl  0.2539  0.3837  0.5758  1 Li 2.42
Cl  0.0814  0.6822  0.8762  1 Li 2.40
Cl  0.3178  0.9186  0.6238  1 Li 2.40
Cl  0.6822  0.0814  0.3762  1 Li 2.40
Li  0.6895  0.3105  0.2500  4 Cl 2.40-2.42
Li  0.3105  0.6895  0.7500  4 Cl 2.40-2.42
K  0.3518  0.6482  0.2500  5 Cl 3.20-3.21
K  0.6482  0.3518  0.7500  5 Cl 3.20-3.21
Pr  0.0000  0.0000  0.5000  6 Cl 2.76-2.80
Pr  0.0000  0.0000  0.0000  6 Cl 2.76-2.80

Properties
crystal system	monoclinic
V	517.1	Å³ per cell
DFT total energy	-4.2133	eV per atom



- The lowest V belongs to which entry?
  CoPBr2